Entry from Alexandria via LeMat-Bulk: AgMoO3 after structural relaxation (GGA+U).

abc: 4.002 4.002 4.002
angles: 90.00 90.00 90.00
Each line ends with the local moment (μB).
Fractional coordinates of all 5 atoms:
O: 0.500 0.000 0.000  -0.17
O: 0.000 0.000 0.500  -0.11
Ag: 0.000 0.000 0.000  -0.03
O: 0.000 0.500 0.000  -0.20
Mo: 0.500 0.500 0.500  3.48

Output
As for the space group: Pm-3m, No. 221. The calculation puts the magnetic moment at 3.25 Bohr magnetons per cell. The total energy is -22.93 eV/cell.